Entry 1:
Density functional theory data (PBE) for a relaxed structure of Pu2GaIr.

Calculated values
formation enthalpy at 0 K = -0.5 eV per formula unit
VASP energy = -82.14 eV for the cell shown
M_tot = 0.0 μB/f.u.
space group = P2_1/m
crystal system = monoclinic

Structure (CIF):
```
data_Pu2GaIr
_cell_length_a 3.208
_cell_length_b 5.891
_cell_length_c 8.371
_cell_angle_alpha 110.91
_cell_angle_beta 90.00
_cell_angle_gamma 90.00
_symmetry_space_group_name_H-M 'P 1'
_symmetry_Int_Tables_number 1
loop_
_symmetry_equiv_pos_as_xyz
'x,y,z'
loop_
_atom_site_label
_atom_site_type_symbol
_atom_site_fract_x
_atom_site_fract_y
_atom_site_fract_z
Ir1 Ir 0.250 0.143 0.164
Pu1 Pu 0.250 0.946 0.582
Pu2 Pu 0.750 0.350 0.939
Ir2 Ir 0.750 0.857 0.836
Ga1 Ga 0.750 0.515 0.332
Ga2 Ga 0.250 0.485 0.668
Pu3 Pu 0.750 0.054 0.418
Pu4 Pu 0.250 0.650 0.061
```

=====

Entry 2:
Density functional theory data (PBE) for a relaxed structure of CePuHgPd.

Calculated values
formation enthalpy at 0 K = -1.2 eV per formula unit
VASP energy = -26.96 eV for the cell shown
relative energy among the computed polymorphs = 126.0 meV/atom
M_tot = 6.7 μB/f.u.
space group = F-43m
crystal system = cubic

Structure (CIF):
```
data_CePuHgPd
_cell_length_a 5.203
_cell_length_b 5.203
_cell_length_c 5.203
_cell_angle_alpha 60.00
_cell_angle_beta 60.00
_cell_angle_gamma 60.00
_symmetry_space_group_name_H-M 'P 1'
_symmetry_Int_Tables_number 1
loop_
_symmetry_equiv_pos_as_xyz
'x,y,z'
loop_
_atom_site_label
_atom_site_type_symbol
_atom_site_fract_x
_atom_site_fract_y
_atom_site_fract_z
Pd1 Pd 0.000 0.000 0.000
Hg1 Hg 0.500 0.500 0.500
Ce1 Ce 0.750 0.750 0.750
Pu1 Pu 0.250 0.250 0.250
```

=====

Entry 3:
Density functional theory data (PBE) for a relaxed structure of YHo4Sc5.

Calculated values
formation enthalpy at 0 K = 3.1 eV per formula unit
VASP energy = -53.38 eV for the cell shown
relative energy among the computed polymorphs = 48.5 meV/atom
M_tot = 0.0 μB/f.u.
space group = I4
crystal system = tetragonal

Structure (CIF):
```
data_YHo4Sc5
_cell_length_a 6.031
_cell_length_b 7.516
_cell_length_c 7.516
_cell_angle_alpha 80.74
_cell_angle_beta 66.35
_cell_angle_gamma 66.35
_symmetry_space_group_name_H-M 'P 1'
_symmetry_Int_Tables_number 1
loop_
_symmetry_equiv_pos_as_xyz
'x,y,z'
loop_
_atom_site_label
_atom_site_type_symbol
_atom_site_fract_x
_atom_site_fract_y
_atom_site_fract_z
Sc1 Sc 0.802 0.373 0.913
Sc2 Sc 0.714 0.087 0.373
Ho1 Ho 0.503 0.604 0.294
Sc3 Sc 0.088 0.627 0.087
Sc4 Sc 0.175 0.913 0.627
Sc5 Sc 0.694 0.000 0.000
Ho2 Ho 0.107 0.294 0.396
Ho3 Ho 0.401 0.396 0.706
Y1 Y 0.230 0.000 0.000
Ho4 Ho 0.797 0.706 0.604
```

=====

Entry 4:
Density functional theory data (PBE) for a relaxed structure of NaCrB3.

Calculated values
formation enthalpy at 0 K = 4.1 eV per formula unit
VASP energy = -26.83 eV for the cell shown
relative energy among the computed polymorphs = 0.0 meV/atom
M_tot = 0.0 μB/f.u.
space group = Pm-3m
crystal system = cubic

Structure (CIF):
```
data_NaCrB3
_cell_length_a 3.947
_cell_length_b 3.947
_cell_length_c 3.947
_cell_angle_alpha 90.00
_cell_angle_beta 90.00
_cell_angle_gamma 90.00
_symmetry_space_group_name_H-M 'P 1'
_symmetry_Int_Tables_number 1
loop_
_symmetry_equiv_pos_as_xyz
'x,y,z'
loop_
_atom_site_label
_atom_site_type_symbol
_atom_site_fract_x
_atom_site_fract_y
_atom_site_fract_z
B1 B 0.500 0.000 0.000
B2 B 0.000 0.000 0.500
B3 B 0.000 0.500 0.000
Na1 Na 0.500 0.500 0.500
Cr1 Cr 0.000 0.000 0.000
```

=====

Entry 5:
Density functional theory data (PBE) for a relaxed structure of ScCu2Ir.

Calculated values
formation enthalpy at 0 K = -1.6 eV per formula unit
VASP energy = -25.01 eV for the cell shown
relative energy among the computed polymorphs = 4.1 meV/atom
M_tot = 0.0 μB/f.u.
space group = Fmmm
crystal system = orthorhombic

Structure (CIF):
```
data_ScCu2Ir
_cell_length_a 4.861
_cell_length_b 4.861
_cell_length_c 4.858
_cell_angle_alpha 134.30
_cell_angle_beta 134.30
_cell_angle_gamma 66.68
_symmetry_space_group_name_H-M 'P 1'
_symmetry_Int_Tables_number 1
loop_
_symmetry_equiv_pos_as_xyz
'x,y,z'
loop_
_atom_site_label
_atom_site_type_symbol
_atom_site_fract_x
_atom_site_fract_y
_atom_site_fract_z
Ir1 Ir 0.750 0.250 0.500
Cu1 Cu 0.500 0.500 0.000
Cu2 Cu 0.000 0.000 0.000
Sc1 Sc 0.250 0.750 0.500
```

=====

Entry 6:
Density functional theory data (PBE) for a relaxed structure of Sm6Si2Se3I.

Calculated values
energy relative to the elements, uncorrected = -1.349 eV per atom
VASP energy = -67.35 eV for the cell shown
M_tot = 0.0 μB/f.u.
space group = C2/m
crystal system = monoclinic

Structure (CIF):
```
data_Sm6Si2Se3I
_cell_length_a 4.214
_cell_length_b 8.605
_cell_length_c 9.467
_cell_angle_alpha 101.85
_cell_angle_beta 102.86
_cell_angle_gamma 90.00
_symmetry_space_group_name_H-M 'P 1'
_symmetry_Int_Tables_number 1
loop_
_symmetry_equiv_pos_as_xyz
'x,y,z'
loop_
_atom_site_label
_atom_site_type_symbol
_atom_site_fract_x
_atom_site_fract_y
_atom_site_fract_z
Si1 Si 0.168 0.336 0.336
Sm1 Sm 0.670 0.578 0.340
Sm2 Sm 0.990 0.716 0.979
Si2 Si 0.832 0.664 0.664
Sm3 Sm 0.010 0.284 0.021
Se1 Se 0.841 0.161 0.682
Sm4 Sm 0.330 0.422 0.660
I1 I 0.500 0.000 0.000
Se2 Se 0.159 0.839 0.318
Sm5 Sm 0.679 0.111 0.358
Sm6 Sm 0.321 0.889 0.642
Se3 Se 0.500 0.500 0.000
```

=====

Entry 7:
Density functional theory data (PBE) for a relaxed structure of TbTm3Hg2.

Calculated values
formation enthalpy at 0 K = -2.2 eV per formula unit
VASP energy = -41.66 eV for the cell shown
relative energy among the computed polymorphs = 0.0 meV/atom
M_tot = 0.0 μB/f.u.
space group = Pmc2_1
crystal system = orthorhombic

Structure (CIF):
```
data_TbTm3Hg2
_cell_length_a 5.047
_cell_length_b 7.026
_cell_length_c 9.138
_cell_angle_alpha 90.00
_cell_angle_beta 90.00
_cell_angle_gamma 90.00
_symmetry_space_group_name_H-M 'P 1'
_symmetry_Int_Tables_number 1
loop_
_symmetry_equiv_pos_as_xyz
'x,y,z'
loop_
_atom_site_label
_atom_site_type_symbol
_atom_site_fract_x
_atom_site_fract_y
_atom_site_fract_z
Tm1 Tm 0.000 0.984 0.056
Hg1 Hg 0.500 0.739 0.852
Tm2 Tm 0.000 0.484 0.944
Tm3 Tm 0.000 0.332 0.322
Hg2 Hg 0.000 0.761 0.351
Tm4 Tm 0.000 0.832 0.678
Tb1 Tb 0.500 0.016 0.444
Hg3 Hg 0.500 0.239 0.148
Hg4 Hg 0.000 0.261 0.649
Tm5 Tm 0.500 0.168 0.827
Tm6 Tm 0.500 0.668 0.173
Tb2 Tb 0.500 0.516 0.556
```

=====

Entry 8:
Density functional theory data (PBE) for a relaxed structure of K2InAsAu.

Calculated values
formation enthalpy at 0 K = 0.4 eV per formula unit
VASP energy = -12.49 eV for the cell shown
M_tot = 0.8 μB/f.u.
space group = P4/mmm
crystal system = tetragonal

Structure (CIF):
```
data_K2InAsAu
_cell_length_a 6.002
_cell_length_b 5.258
_cell_length_c 6.002
_cell_angle_alpha 90.00
_cell_angle_beta 90.00
_cell_angle_gamma 90.00
_symmetry_space_group_name_H-M 'P 1'
_symmetry_Int_Tables_number 1
loop_
_symmetry_equiv_pos_as_xyz
'x,y,z'
loop_
_atom_site_label
_atom_site_type_symbol
_atom_site_fract_x
_atom_site_fract_y
_atom_site_fract_z
K1 K 0.500 0.000 0.000
Au1 Au 0.000 0.000 0.000
In1 In 0.000 0.500 0.000
K2 K 0.000 0.000 0.500
As1 As 0.500 0.500 0.500
```